VASP calculation (PBE) on crystalline YPdO2 at its relaxed geometry.

abc: 5.837 5.837 5.837
angles: 90.00 90.00 90.00
Positions (direct):
Y 0.000 0.000 0.000
Y 0.000 0.500 0.500
Y 0.500 0.000 0.500
Y 0.500 0.500 0.000
Pd 0.000 0.000 0.500
Pd 0.000 0.500 0.000
Pd 0.500 0.000 0.000
Pd 0.500 0.500 0.500
O 0.250 0.250 0.250
O 0.250 0.250 0.750
O 0.250 0.750 0.250
O 0.250 0.750 0.750
O 0.750 0.250 0.250
O 0.750 0.250 0.750
O 0.750 0.750 0.250
O 0.750 0.750 0.750

Computed properties:
formation energy without anion corrections: -1.6098 eV/atom
space group: Fm-3m, No. 225
density: 7.593 g cm⁻³